DFT (PBE-GGA) results for a relaxed structure of CsSn4Te5.

Computed properties:
Fermi-level density of states	4.3	states/eV/f.u.
uncorrected formation energy	-0.274	eV/atom
offset from the most stable computed form	0.99	eV per formula unit
M_tot	0.00	μB/cell

```
CsSn4Te5
1.0
8.868 0.000 0.000
0.000 8.553 0.000
0.000 0.000 11.049
Te Sn Cs
10 8 2
Direct
0.797 0.234 0.692
0.571 0.500 0.000
0.203 0.266 0.808
0.203 0.734 0.192
0.797 0.234 0.308
0.797 0.766 0.692
0.429 0.000 0.500
0.797 0.766 0.308
0.203 0.266 0.192
0.203 0.734 0.808
0.409 0.195 0.000
0.591 0.695 0.500
0.130 0.000 0.654
0.870 0.500 0.846
0.409 0.805 0.000
0.130 0.000 0.346
0.591 0.305 0.500
0.870 0.500 0.154
0.105 0.500 0.500
0.895 0.000 0.000
```